The following is a DFT calculation (PBE) of an optimized crystal structure of GaNiTe2H.

a = 5.3313 Å, b = 5.3313 Å, c = 3.2463 Å
α = 90.00°, β = 90.00°, γ = 90.00°
Space group P4/mmm (No. 123)
Inequivalent atoms, fractional coordinates:
Ga (0.0000, 0.0000, 0.0000) [1 per cell]
Ni (0.5000, 0.5000, 0.5000) [1 per cell]
Te (0.0000, 0.5000, 0.5000) [2 per cell]
H (0.5000, 0.5000, 0.0000) [1 per cell]

DFT total energy (eV per atom): -3.673